Computed, not measured: a relaxed structure of PmNi8B4 at the GGA-PBE level of DFT.

Computed properties:
The space group is I4/mmm. The energy of formation comes out at -0.11 eV per atom.

Cell: 5.8667 5.8667 5.8667 Å, 98.46 98.46 134.89°
Closest atoms and distances in Å follow each position.
Atoms (fractional coordinates):
Pm (0.0000, 0.0000, 0.0000)  12 Ni 2.63-2.86, 8 B 2.93
Ni (0.0000, 0.3429, 0.3429)  4 B 2.33, 5 Ni 2.40-2.41
Ni (0.0000, 0.6571, 0.6571)  4 B 2.33, 5 Ni 2.40-2.41
Ni (0.2706, 0.5000, 0.7706)  4 B 2.23, 6 Ni 2.40-2.49
Ni (0.3429, 0.0000, 0.3429)  4 B 2.33, 5 Ni 2.40-2.41
Ni (0.5000, 0.2706, 0.7706)  4 B 2.23, 6 Ni 2.40-2.49
Ni (0.5000, 0.7294, 0.2294)  4 B 2.23, 6 Ni 2.40-2.49
Ni (0.6571, 0.0000, 0.6571)  4 B 2.33, 5 Ni 2.40-2.41
Ni (0.7294, 0.5000, 0.2294)  4 B 2.23, 6 Ni 2.40-2.49
B (0.0000, 0.0000, 0.5000)  8 Ni 2.23-2.33, 2 B 2.25
B (0.0000, 0.5000, 0.0000)  8 Ni 2.23-2.33, 2 B 2.25
B (0.5000, 0.0000, 0.0000)  8 Ni 2.23-2.33, 2 B 2.25
B (0.5000, 0.5000, 0.5000)  8 Ni 2.23-2.33, 2 B 2.25